# NpPaPt | the Open Quantum Materials Database | PBE-GGA | relaxed
# - density (g/cm³) = 16.418
# - symmetry = No. 216
# - total moment (μB per formula unit) = 4.0
# - calculated formation energy (eV/f.u.) = -0.54
# - E above lowest polymorph (meV/atom) = 0
data_NpPaPt
_chemical_formula_sum 'Np1 Pa1 Pt1'
_space_group_name_H-M_alt 'P 1'
_space_group_IT_number 1
_space_group_name_Hall 'P 1'
_cell_length_a 4.5605
_cell_length_b 4.5605
_cell_length_c 4.5605
_cell_angle_alpha 60.00
_cell_angle_beta 60.00
_cell_angle_gamma 60.00
loop_
_atom_site_label
_atom_site_fract_x
_atom_site_fract_y
_atom_site_fract_z
Pt1 0.7500 0.7500 0.7500
Np1 0.2500 0.2500 0.2500
Pa1 0.0000 0.0000 0.0000